Compound: Mn2TlMo
Source: Alexandria via LeMat-Bulk
Functional: PBEsol
Structure: relaxed

a = 3.029 Å, b = 3.029 Å, c = 6.669 Å
α = 90.00°, β = 90.00°, γ = 90.00°
Fractional positions:
Mn: 0.000 0.000 0.000
Mn: 0.500 0.500 0.210
Tl: 0.500 0.500 0.718
Mo: 0.000 0.000 0.405

Calculated values
Symmetry: P4mm
DFT formation energy, eV/atom: 0.45